Here is a relaxed HfCoBi2O6 crystal from Alexandria. Energies are from PBE+U.

a = 5.582 Å, b = 5.908 Å, c = 9.722 Å
α = 90.00°, β = 124.42°, γ = 90.00°
Fractional coordinates of all 20 atoms:
Hf 0.000 0.000 0.000
Hf 0.000 0.500 0.500
Co 0.500 0.000 0.500
Co 0.500 0.500 0.000
Bi 0.262 0.049 0.750
Bi 0.262 0.451 0.250
Bi 0.738 0.549 0.750
Bi 0.738 0.951 0.250
O 0.134 0.039 0.249
O 0.134 0.461 0.749
O 0.235 0.698 0.056
O 0.235 0.802 0.556
O 0.363 0.186 0.052
O 0.363 0.314 0.552
O 0.637 0.686 0.448
O 0.637 0.814 0.948
O 0.765 0.198 0.444
O 0.765 0.302 0.944
O 0.866 0.539 0.251
O 0.866 0.961 0.751

Results
VASP energy in eV/atom: -7.097
DOS at the Fermi energy in states/eV/f.u.: 0.0
Spin magnetization in μB per formula unit: 3.03